This record from Alexandria describes a geometry-optimized Ac2PuSb structure. The functional is PBE.

Cell: 12.6377 12.6377 12.6377 Å, 16.90 16.90 16.90°
Element x y z (fractional)
Ac: 0.0939 0.0939 0.0939
Ac: 0.9061 0.9061 0.9061
Pu: 0.0000 0.0000 0.0000
Sb: 0.5000 0.5000 0.5000

excess energy over the best structure of this formula in the dataset: 47.28 kJ/mol of atoms
formation energy (no corrections): 59 kJ/mol of formula units
space-group type: R-3m
final energy: -26.06 eV per formula unit

***

This record from Alexandria describes a geometry-optimized YMnNi2 structure. The functional is PBE.

Cell: 3.1872 3.1872 6.2319 Å, 90.00 90.00 90.00°
Element x y z (fractional)
Y: 0.0000 0.0000 0.0000
Mn: 0.0000 0.0000 0.5000
Ni: 0.5000 0.5000 0.2941
Ni: 0.5000 0.5000 0.7059

calculated formation energy: -111 meV per atom
excess energy over the best structure of this formula in the dataset: 11.53 kJ/mol of atoms
space-group type: P4/mmm
final energy: -27.64 eV per formula unit

***

This record from Alexandria describes a geometry-optimized Pm2Nd3Sc4 structure. The functional is PBE.

Cell: 9.9393 9.9393 5.8780 Å, 96.44 96.44 69.77°
Element x y z (fractional)
Pm: 0.0021 0.7467 0.7025
Pm: 0.2533 0.9979 0.7975
Pm: 0.7467 0.0021 0.2025
Pm: 0.9979 0.2533 0.2975
Nd: 0.1267 0.8733 0.2500
Nd: 0.2251 0.4567 0.3862
Nd: 0.4567 0.2251 0.8862
Nd: 0.5433 0.7749 0.1138
Nd: 0.7749 0.5433 0.6138
Nd: 0.8733 0.1267 0.7500
Sc: 0.0995 0.3694 0.8459
Sc: 0.3288 0.5727 0.9585
Sc: 0.3694 0.0995 0.3459
Sc: 0.4273 0.6712 0.5415
Sc: 0.5727 0.3288 0.4585
Sc: 0.6306 0.9005 0.6541
Sc: 0.6712 0.4273 0.0415
Sc: 0.9005 0.6306 0.1541

calculated formation energy: 113 meV per atom
space-group type: C2/c
final energy: -48.11 eV per formula unit

***

This record from Alexandria describes a geometry-optimized MnAgSe2 structure. The functional is PBE.

Cell: 4.7818 4.7818 4.7818 Å, 60.00 60.00 60.00°
Element x y z (fractional)
Mn: 0.0000 0.0000 0.0000
Ag: 0.7500 0.7500 0.7500
Se: 0.2500 0.2500 0.2500
Se: 0.5000 0.5000 0.5000

formation energy (no corrections): 145 kJ/mol of formula units
space-group type: F-43m
final energy: -17.49 eV per formula unit

***

This record from Alexandria describes a geometry-optimized Ac2In5Ir3 structure. The functional is PBE.

Cell: 13.8271 13.8271 7.5893 Å, 90.00 90.00 160.95°
Element x y z (fractional)
Ac: 0.0262 0.9738 0.5000
Ac: 0.3243 0.6757 0.4096
Ac: 0.6757 0.3243 0.9096
Ac: 0.9738 0.0262 0.0000
In: 0.0984 0.9016 0.1162
In: 0.2068 0.7932 0.6009
In: 0.2101 0.7899 0.2090
In: 0.3708 0.6292 0.9515
In: 0.4461 0.5539 0.3304
In: 0.5539 0.4461 0.8304
In: 0.6292 0.3708 0.4515
In: 0.7899 0.2101 0.7090
In: 0.7932 0.2068 0.1009
In: 0.9016 0.0984 0.6162
Ir: 0.1109 0.8891 0.7389
Ir: 0.2685 0.7315 0.9030
Ir: 0.4548 0.5452 0.7113
Ir: 0.5452 0.4548 0.2113
Ir: 0.7315 0.2685 0.4030
Ir: 0.8891 0.1109 0.2389

calculated formation energy: -430 meV per atom
space-group type: Cmc2_1
final energy: -52.79 eV per formula unit

***

This record from Alexandria describes a geometry-optimized Tb2ScUSb4 structure. The functional is PBE.

Cell: 7.5064 4.3210 7.5392 Å, 90.00 109.08 90.00°
Element x y z (fractional)
Tb: 0.0000 0.0000 0.0000
Tb: 0.0000 0.5000 0.5000
Sc: 0.5000 0.0000 0.5000
U: 0.5000 0.5000 0.0000
Sb: 0.2554 0.0000 0.7444
Sb: 0.2618 0.5000 0.2595
Sb: 0.7382 0.5000 0.7405
Sb: 0.7446 0.0000 0.2556

formation energy (no corrections): -645 kJ/mol of formula units
space-group type: P2/m
final energy: -50.06 eV per formula unit

***

Number 1: spin magnetization 1.5896 μB/atom. Number 2: spin magnetization 1.1228 μB/atom. Number 3: spin magnetization 0.0000 μB/atom. Number 4: spin magnetization 1.0284 μB/atom. Number 5: spin magnetization 0.0000 μB/atom. Number 6: spin magnetization 0.3149 μB/atom.